Material: La2TcIr
Method: DFT, PBE
State: relaxed

Computed properties:
- Calculated total energy: -7.3487 eV per atom
- Energy above the most stable polymorph in this dataset: 0.62 eV/f.u.
- Total magnetic moment: 0.00 μB per formula unit

a = 7.0387 Å, b = 7.0346 Å, c = 3.6870 Å
α = 90.00°, β = 90.20°, γ = 90.00°
Closest atoms and distances in Å follow each position.
Space group C2/m (No. 12)
One atom of each set of equivalent atoms:
La 0.2500 0.2500 0.0000 (multiplicity 4)  4 Tc 3.09-3.10, 4 Ir 3.09-3.10
Tc 0.0000 0.0000 0.5000 (multiplicity 2)  8 La 3.09-3.10
Ir 0.0000 0.5000 0.5000 (multiplicity 2)  8 La 3.09-3.10

Material: LaTcIr
Method: DFT, PBE
State: relaxed

Computed properties:
- Calculated total energy: -7.0505 eV per atom
- Energy above the most stable polymorph in this dataset: 3.52 eV/f.u.
- Total magnetic moment: 1.92 μB per formula unit

a = 6.4483 Å, b = 6.4483 Å, c = 6.4483 Å
α = 90.00°, β = 90.00°, γ = 90.00°
Closest atoms and distances in Å follow each position.
Space group F-43m (No. 216)
One atom of each set of equivalent atoms:
La 0.0000 0.0000 0.0000 (multiplicity 4)  4 Ir 2.79, 4 Tc 2.79
Tc 0.2500 0.2500 0.7500 (multiplicity 4)  4 La 2.79
Ir 0.2500 0.2500 0.2500 (multiplicity 4)  4 La 2.79

Material: LaTc2Ir
Method: DFT, PBE
State: relaxed

Computed properties:
- Calculated total energy: -8.0887 eV per atom
- Energy above the most stable polymorph in this dataset: 1.87 eV/f.u.
- Total magnetic moment: 0.18 μB per formula unit

a = 2.8574 Å, b = 2.8574 Å, c = 29.9498 Å
α = 90.00°, β = 90.00°, γ = 120.00°
Closest atoms and distances in Å follow each position.
Space group R-3m (No. 166, hexagonal axes)
One atom of each set of equivalent atoms:
La 0.0000 0.0000 0.0000 (multiplicity 3)  6 La 2.86
Tc 0.0000 0.0000 0.2380 (multiplicity 6)  3 Ir 2.70, 6 Tc 2.86
Ir 0.0000 0.0000 0.5000 (multiplicity 3)  6 Tc 2.70, 6 Ir 2.86

Material: LaTc2Ir
Method: DFT, PBE
State: relaxed

Computed properties:
- Calculated total energy: -8.2487 eV per atom
- Energy above the most stable polymorph in this dataset: 1.23 eV/f.u.
- Total magnetic moment: 0.00 μB per formula unit

a = 3.0975 Å, b = 4.7722 Å, c = 5.4797 Å
α = 90.00°, β = 103.18°, γ = 90.00°
Closest atoms and distances in Å follow each position.
Space group P2/m (No. 10)
One atom of each set of equivalent atoms:
La 0.0000 0.0000 0.0000 (multiplicity 1)  2 Ir 2.82, 2 La 3.10
Tc 0.3088 0.5000 0.6749 (multiplicity 2)  2 Tc 2.38-2.47
Ir 0.5000 0.0000 0.5000 (multiplicity 1)  4 Tc 2.69, 2 La 2.82